1.
## La2Nd9Dy3 (PBE-GGA)

Data for a relaxed La2Nd9Dy3 crystal.

a = 9.2361 Å, b = 9.2361 Å, c = 13.7348 Å
α = 90.00°, β = 90.00°, γ = 120.00°
Atoms (fractional coordinates):
La 0.3333 0.6667 0.3635
La 0.3333 0.6667 0.1365
La 0.6667 0.3333 0.6365
La 0.6667 0.3333 0.8635
Nd 0.5158 0.5980 0.7500
Nd 0.2743 0.4010 0.9611
Nd 0.5990 0.8733 0.9611
Nd 0.4842 0.4020 0.2500
Nd 0.1267 0.7257 0.9611
Nd 0.1267 0.7257 0.5389
Nd 0.7257 0.5990 0.0389
Nd 0.5980 0.0822 0.2500
Nd 0.4010 0.1267 0.0389
Nd 0.5990 0.8733 0.5389
Nd 0.2743 0.4010 0.5389
Nd 0.8733 0.2743 0.4611
Nd 0.8733 0.2743 0.0389
Nd 0.9178 0.5158 0.2500
Nd 0.0822 0.4842 0.7500
Nd 0.7257 0.5990 0.4611
Nd 0.4020 0.9178 0.7500
Nd 0.4010 0.1267 0.4611
Dy 0.2477 0.1681 0.7500
Dy 0.9204 0.7523 0.7500
Dy 0.7523 0.8319 0.2500
Dy 0.8319 0.0796 0.7500
Dy 0.0796 0.2477 0.2500
Dy 0.1681 0.9204 0.2500

Summary:
**Formation enthalpy at 0 K**: 333 kJ/mol of formula units

=====

2.
## FeIr3Ru4 (PBE-GGA)

Data for a relaxed FeIr3Ru4 crystal.

a = 4.7181 Å, b = 5.4490 Å, c = 8.6491 Å
α = 90.00°, β = 90.00°, γ = 90.00°
Last column: magnetic moment on the atom in μB.
Atoms (fractional coordinates):
Fe 0.8569 0.3734 0.0000  2.38
Fe 0.3569 0.6266 0.5000  2.38
Ir 0.8541 0.8759 0.0000  -0.06
Ir 0.5231 0.3761 0.7500  0.02
Ir 0.5231 0.3761 0.2500  0.02
Ir 0.3541 0.1241 0.5000  -0.06
Ir 0.0231 0.6239 0.7500  0.02
Ir 0.0231 0.6239 0.2500  0.02
Ru 0.5214 0.8730 0.7496  -0.07
Ru 0.3577 0.1243 0.0000  -0.14
Ru 0.3577 0.6237 0.0000  0.07
Ru 0.5214 0.8730 0.2504  -0.07
Ru 0.0214 0.1270 0.7504  -0.07
Ru 0.8577 0.3763 0.5000  0.07
Ru 0.0214 0.1270 0.2496  -0.07
Ru 0.8577 0.8757 0.5000  -0.14

Summary:
**Formation enthalpy at 0 K**: -30 kJ/mol of formula units

=====

3.
## SrCaAlTl (PBE-GGA)

Data for a relaxed SrCaAlTl crystal.

a = 5.5421 Å, b = 5.5421 Å, c = 5.5421 Å
α = 60.00°, β = 60.00°, γ = 60.00°
Atoms (fractional coordinates):
Tl 0.0000 0.0000 0.0000
Ca 0.7500 0.7500 0.7500
Al 0.5000 0.5000 0.5000
Sr 0.2500 0.2500 0.2500

Summary:
**Formation enthalpy at 0 K**: -102 kJ/mol of formula units

=====

4.
## CaNbCdI2 (PBE-GGA)

Data for a relaxed CaNbCdI2 crystal.

a = 5.4813 Å, b = 5.6818 Å, c = 5.4813 Å
α = 90.00°, β = 90.00°, γ = 90.00°
Last column: magnetic moment on the atom in μB.
Atoms (fractional coordinates):
I 0.0000 0.0000 0.5000  0.00
I 0.5000 0.0000 0.0000  0.01
Cd 0.0000 0.5000 0.0000  -0.01
Nb 0.0000 0.0000 0.0000  0.41
Ca 0.5000 0.5000 0.5000  -0.01

Summary:
**Formation energy without anion corrections**: 0.9 eV per formula unit

=====

5.
## LaNd3Pt (PBE-GGA)

Data for a relaxed LaNd3Pt crystal.

a = 5.6942 Å, b = 5.6942 Å, c = 5.6942 Å
α = 90.00°, β = 90.00°, γ = 90.00°
Last column: magnetic moment on the atom in μB.
Atoms (fractional coordinates):
Nd 0.0000 0.5000 0.0000  0.06
Nd 0.0000 0.0000 0.5000  0.06
Nd 0.5000 0.0000 0.0000  0.06
Pt 0.0000 0.0000 0.0000  0.03
La 0.5000 0.5000 0.5000  0.17

Summary:
**Formation enthalpy at 0 K**: -137 kJ/mol of formula units
**Polymorph energy (0 for the lowest one)**: 190 meV/atom

=====

6.
## Ba2MgHg (PBE-GGA)

Data for a relaxed Ba2MgHg crystal.

a = 10.6361 Å, b = 10.6361 Å, c = 10.6361 Å
α = 157.68°, β = 31.86°, γ = 157.56°
Atoms (fractional coordinates):
Hg 0.5000 0.0000 0.5000
Ba 0.3379 0.0000 0.3379
Ba 0.6621 0.0000 0.6621
Mg 0.0000 0.0000 0.0000

Summary:
**Formation enthalpy at 0 K**: -30 kJ/mol of formula units
**Polymorph energy (0 for the lowest one)**: 214 meV/atom

=====

7.
## Cs5GeO4 (PBE-GGA)

Data for a relaxed Cs5GeO4 crystal.

a = 6.8287 Å, b = 10.5560 Å, c = 8.2037 Å
α = 90.00°, β = 90.00°, γ = 90.00°
Atoms (fractional coordinates):
Cs 0.2489 0.6781 0.2605
Cs 0.7584 0.5000 0.0000
Cs 0.7511 0.8219 0.2395
Cs 0.7511 0.8219 0.7605
Cs 0.2489 0.6781 0.7395
Cs 0.2489 0.3219 0.2605
Cs 0.7511 0.1781 0.2395
Cs 0.7511 0.1781 0.7605
Cs 0.2489 0.3219 0.7395
Cs 0.2416 0.0000 0.5000
O 0.3962 0.0000 0.8194
O 0.9120 0.6409 0.5000
O 0.6038 0.5000 0.6806
O 0.3962 0.0000 0.1806
O 0.6038 0.5000 0.3194
O 0.0880 0.1409 0.0000
O 0.9120 0.3591 0.5000
O 0.0880 0.8591 0.0000
Ge 0.7577 0.5000 0.5000
Ge 0.2423 0.0000 0.0000

Summary:
**Formation energy without anion corrections**: -12.9 eV per formula unit

=====

8.
## AlTl12Hg6 (PBE-GGA)

Data for a relaxed AlTl12Hg6 crystal.

a = 9.0422 Å, b = 9.0422 Å, c = 9.0422 Å
α = 109.43°, β = 109.43°, γ = 109.43°
Atoms (fractional coordinates):
Hg 0.1500 0.3796 0.1367
Hg 0.6204 0.8633 0.8500
Hg 0.8500 0.6204 0.8633
Hg 0.3796 0.1367 0.1500
Hg 0.1367 0.1500 0.3796
Hg 0.8633 0.8500 0.6204
Tl 0.7173 0.9916 0.2591
Tl 0.7409 0.2827 0.0084
Tl 0.9916 0.2591 0.7173
Tl 0.4567 0.8039 0.4430
Tl 0.2827 0.0084 0.7409
Tl 0.4430 0.4567 0.8039
Tl 0.2591 0.7173 0.9916
Tl 0.5433 0.1961 0.5570
Tl 0.1961 0.5570 0.5433
Tl 0.5570 0.5433 0.1961
Tl 0.8039 0.4430 0.4567
Tl 0.0084 0.7409 0.2827
Al 0.0000 0.0000 0.0000

Summary:
**Formation enthalpy at 0 K**: 88 kJ/mol of formula units

=====

9.
## SrNd2ThAs4 (PBE-GGA)

Data for a relaxed SrNd2ThAs4 crystal.

a = 4.3176 Å, b = 7.4683 Å, c = 7.4742 Å
α = 70.85°, β = 90.00°, γ = 90.00°
Atoms (fractional coordinates):
Nd 0.5000 0.0000 0.5000
Nd 0.0000 0.0000 0.0000
As 0.5000 0.2500 0.7424
As 0.0000 0.2446 0.2626
As 0.0000 0.7554 0.7374
As 0.5000 0.7500 0.2576
Th 0.0000 0.5000 0.5000
Sr 0.5000 0.5000 0.0000

Summary:
**Formation enthalpy at 0 K**: -1083 kJ/mol of formula units

=====

10.
## Pr2Nd3Y6 (PBE-GGA)

Data for a relaxed Pr2Nd3Y6 crystal.

a = 4.8115 Å, b = 4.8115 Å, c = 17.1921 Å
α = 98.04°, β = 98.04°, γ = 90.00°
Atoms (fractional coordinates):
Y 0.3027 0.3027 0.6055
Y 0.1214 0.6214 0.2427
Y 0.6214 0.1214 0.2427
Y 0.3786 0.8786 0.7573
Y 0.8786 0.3786 0.7573
Y 0.6973 0.6973 0.3945
Nd 0.2005 0.2005 0.4010
Nd 0.0000 0.0000 0.0000
Nd 0.7995 0.7995 0.5990
Pr 0.4542 0.4542 0.9084
Pr 0.5458 0.5458 0.0916

Summary:
**Formation enthalpy at 0 K**: 278 kJ/mol of formula units
**Polymorph energy (0 for the lowest one)**: 83 meV/atom

=====

11.
## MnSnAsPtI (PBE-GGA)

Data for a relaxed MnSnAsPtI crystal.

a = 4.2026 Å, b = 4.2026 Å, c = 25.1782 Å
α = 90.00°, β = 90.00°, γ = 120.00°
Last column: magnetic moment on the atom in μB.
Atoms (fractional coordinates):
As 0.3333 0.6667 0.1535  -0.07
As 0.0000 0.0000 0.4868  -0.07
As 0.6667 0.3333 0.8202  -0.07
Pt 0.3333 0.6667 0.4555  0.07
Pt 0.6667 0.3333 0.1222  0.07
Pt 0.0000 0.0000 0.7888  0.07
I 0.6667 0.3333 0.6215  0.04
I 0.0000 0.0000 0.2882  0.04
I 0.3333 0.6667 0.9549  0.04
Mn 0.6667 0.3333 0.5185  3.76
Mn 0.0000 0.0000 0.1852  3.76
Mn 0.3333 0.6667 0.8518  3.76
Sn 0.3333 0.6667 0.7232  0.01
Sn 0.6667 0.3333 0.3899  0.01
Sn 0.0000 0.0000 0.0565  0.01

Summary:
**Formation energy without anion corrections**: -1.0 eV per formula unit
**Polymorph energy (0 for the lowest one)**: 32 meV/atom

=====

12.
## Ti4SbC2 (PBE-GGA)

Data for a relaxed Ti4SbC2 crystal.

a = 3.1679 Å, b = 3.1679 Å, c = 11.7556 Å
α = 82.26°, β = 82.26°, γ = 60.00°
Atoms (fractional coordinates):
Sb 0.0000 0.0000 0.0000
C 0.5695 0.5695 0.2916
C 0.4305 0.4305 0.7084
Ti 0.7329 0.7329 0.8012
Ti 0.2671 0.2671 0.1988
Ti 0.1304 0.1304 0.6089
Ti 0.8696 0.8696 0.3911

Summary:
**Formation energy without anion corrections**: -4.3 eV per formula unit